HfTlSeN2 | PBE-GGA | optimized geometry

## Properties
- ΔE_f (raw): 7.7 eV/f.u.
- Magnetization: 0.68 μB/f.u.
- Energy above the most stable polymorph in this dataset: 1.441 eV per atom

```
5
Lattice="-3.727 1.754 0.693 -0.364 -2.175 3.547 2.410 4.043 2.728" Properties=species:S:1:pos:R:3 pbc="T T T"
Tl 0.000 0.000 0.000
Hf -0.840 1.811 3.484
Se 1.205 2.022 1.364
N -0.182 -1.088 1.773
N -1.863 0.877 0.346
```

---

Tm2HfSe2N2 | PBE-GGA | optimized geometry

## Properties
- ΔE_f (raw): -11.3 eV/f.u.
- Magnetization: 0.00 μB/f.u.

```
7
Lattice="4.158 0.000 0.000 0.000 4.158 0.000 -2.079 -2.079 7.333" Properties=species:S:1:pos:R:3 pbc="T T T"
Tm 0.000 0.000 5.725
Tm 2.079 2.079 1.608
Hf 0.000 0.000 0.000
Se 0.000 0.000 2.695
Se 2.079 2.079 4.638
N 0.000 2.079 0.000
N 2.079 0.000 0.000
```

---

HfUSeN2 | PBE-GGA | optimized geometry

## Properties
- ΔE_f (raw): -7.5 eV/f.u.
- Magnetization: 2.00 μB/f.u.

```
10
Lattice="-1.387 -1.472 3.374 4.790 -4.326 0.082 2.049 6.214 3.554" Properties=species:S:1:pos:R:3 pbc="T T T"
Hf 3.645 -0.570 2.397
Hf 1.807 0.986 4.613
U 4.878 2.449 4.221
U 0.575 -2.033 2.789
Se 1.337 4.063 3.469
Se 4.116 -3.647 3.541
N 2.200 -0.954 3.928
N 3.252 1.370 3.082
N 3.266 2.110 5.703
N 2.186 -1.694 1.307
```

---

Q: Among the records above, which one has the lowest magnetization?
A: Tm2HfSe2N2

---

Copy entry 2 word for word.
Tm2HfSe2N2 | PBE-GGA | optimized geometry

## Properties
- ΔE_f (raw): -11.3 eV/f.u.
- Magnetization: 0.00 μB/f.u.

```
7
Lattice="4.158 0.000 0.000 0.000 4.158 0.000 -2.079 -2.079 7.333" Properties=species:S:1:pos:R:3 pbc="T T T"
Tm 0.000 0.000 5.725
Tm 2.079 2.079 1.608
Hf 0.000 0.000 0.000
Se 0.000 0.000 2.695
Se 2.079 2.079 4.638
N 0.000 2.079 0.000
N 2.079 0.000 0.000
```

---

Q: Which of these has the highest ΔE_f (raw)?
A: HfTlSeN2